1.
Density functional theory data (PBE) for a relaxed structure of YScTiIn.

Values from the calculation:
**SG**: F-43m
**Energy relative to the elements**: -0.12 eV/atom
**ρ**: 5.18 g cm⁻³
**DFT total energy**: -5.9741 eV per atom

a = 5.1221 Å, b = 5.1221 Å, c = 5.1221 Å
α = 60.00°, β = 60.00°, γ = 60.00°
Each line ends with the local moment (μB).
Positions (direct):
In: 0.5000 0.5000 0.5000  -0.05
Ti: 0.0000 0.0000 0.0000  1.61
Sc: 0.7500 0.7500 0.7500  0.33
Y: 0.2500 0.2500 0.2500  0.22

2.
Density functional theory data (PBE) for a relaxed structure of LaErCdGe.

Values from the calculation:
**SG**: F-43m
**Energy relative to the elements**: -0.48 eV/atom
**ρ**: 7.92 g cm⁻³
**DFT total energy**: -4.2357 eV per atom

a = 5.2606 Å, b = 5.2606 Å, c = 5.2606 Å
α = 60.00°, β = 60.00°, γ = 60.00°
Positions (direct):
Cd: 0.7500 0.7500 0.7500
Er: 0.0000 0.0000 0.0000
La: 0.5000 0.5000 0.5000
Ge: 0.2500 0.2500 0.2500

3.
Density functional theory data (PBE) for a relaxed structure of Ga2AgSe.

Values from the calculation:
**SG**: I-42d
**Uncorrected formation energy**: -18 kJ/mol of formula units
**ρ**: 5.08 g cm⁻³
**DFT total energy**: -3.1443 eV per atom

a = 6.3085 Å, b = 6.3085 Å, c = 6.9769 Å
α = 63.12°, β = 63.12°, γ = 90.00°
Positions (direct):
Ga: 0.8750 0.8796 0.7500
Ga: 0.1204 0.6250 0.2500
Ag: 0.0000 0.0000 0.0000
Se: 0.5000 0.5000 0.0000
Ga: 0.3750 0.3704 0.7500
Ag: 0.7500 0.2500 0.5000
Se: 0.2500 0.7500 0.5000
Ga: 0.6296 0.1250 0.2500

- ρ of number 2 (LaErCdGe)?
  7.92 g cm⁻³